Entry 1:
The following is a DFT calculation (PBE) of a relaxed BeTlIr2 crystal.

abc: 2.8072 3.5897 6.2853
angles: 90.00 90.00 90.00
Fractional coordinates of all 4 atoms:
Be: 0.0000 0.0000 0.0000
Tl: 0.5000 0.5000 0.6502
Ir: 0.0000 0.0000 0.3640
Ir: 0.5000 0.5000 0.0988

Summary:
Calculated total energy, eV per cell: -22.95
ΔE_f, eV/atom: 0.2173
Space-group type: Pmm2 (25)

Entry 2:
The following is a DFT calculation (PBE) of a relaxed Mn2CoRu2 crystal.

abc: 4.5653 4.5653 4.5653
angles: 129.63 117.08 84.66
Fractional coordinates of all 5 atoms:
Mn: 0.2212 0.0000 0.2212
Mn: 0.7788 0.0000 0.7788
Co: 0.5000 0.5000 0.0000
Ru: 0.1974 0.6974 0.5000
Ru: 0.8026 0.3026 0.5000

Summary:
Calculated total energy, eV per cell: -42.70
ΔE_f, eV/atom: 0.2592
Space-group type: Immm (71)

Entry 3:
The following is a DFT calculation (PBE) of a relaxed Ca2LaMg2Tl2 crystal.

abc: 9.9237 9.9237 9.9237
angles: 29.56 29.56 29.56
Fractional coordinates of all 7 atoms:
Ca: 0.1302 0.1302 0.1302
Ca: 0.8698 0.8698 0.8698
La: 0.0000 0.0000 0.0000
Mg: 0.4006 0.4006 0.4006
Mg: 0.5994 0.5994 0.5994
Tl: 0.2609 0.2609 0.2609
Tl: 0.7391 0.7391 0.7391

Summary:
Calculated total energy, eV per cell: -18.61
ΔE_f, eV/atom: -0.2511
Space-group type: R-3m (166)

Entry 4:
The following is a DFT calculation (PBE) of a relaxed NaLi2In crystal.

abc: 5.0047 5.0047 3.4646
angles: 90.00 90.00 90.00
Fractional coordinates of all 4 atoms:
Na: 0.0000 0.0000 0.0000
Li: 0.0000 0.5000 0.5000
Li: 0.5000 0.0000 0.5000
In: 0.5000 0.5000 0.0000

Summary:
Calculated total energy, eV per cell: -8.44
ΔE_f, eV/atom: -0.1384
Space-group type: P4/mmm (123)

Result set for M_tot: 0.000; 0.000; 0.000; 0.000 μB per atom, one per record in the order listed.